Below is crystalline Nd2Zn5Pb at its relaxed geometry, with properties calculated at the PBE-GGA level.

Calculated values
Electronic total energy ... -2.8274 eV per atom

CIF file:
```
data_Nd2Zn5Pb
_chemical_formula_sum 'Nd8 Zn20 Pb4'
_space_group_name_H-M_alt 'C m c m'
_space_group_IT_number 63
_space_group_name_Hall '-C 2c 2'
_cell_length_a 4.461
_cell_length_b 16.696
_cell_length_c 9.143
_cell_angle_alpha 90.00
_cell_angle_beta 90.00
_cell_angle_gamma 90.00
loop_
_atom_site_label
_atom_site_type_symbol
_atom_site_fract_x
_atom_site_fract_y
_atom_site_fract_z
Nd1 Nd 0.000 0.000 0.000
Nd2 Nd 0.000 0.205 0.250
Zn1 Zn 0.000 0.186 0.609
Zn2 Zn 0.000 0.341 0.515
Zn3 Zn 0.000 0.391 0.250
Pb1 Pb 0.000 0.447 0.750
```